[1]
Compound: TiCr2Ag2Se6
Source: Alexandria via LeMat-Bulk
Functional: GGA-PBE
Structure: relaxed

Geometry as extended XYZ:
```
11
Lattice="3.128 -5.532 0.000 3.128 5.532 0.000 -2.963 0.000 7.736" Properties=species:S:1:pos:R:3 pbc="T T T"
Ti 0.000 0.000 0.000
Cr 3.128 1.757 0.000
Cr 3.128 -1.757 0.000
Ag 1.647 3.509 3.868
Ag 1.647 -3.509 3.868
Se 2.093 3.642 1.404
Se 1.200 3.642 6.332
Se 2.105 0.000 1.474
Se 1.189 0.000 6.262
Se 2.093 -3.642 1.404
Se 1.200 -3.642 6.332
```

Output
* energy relative to the elements, uncorrected: -562 kJ/mol of formula units
* energy: -0.1990 Ha/atom

***

[2]
Compound: CdSb2WI
Source: Alexandria via LeMat-Bulk
Functional: GGA-PBE
Structure: relaxed

Geometry as extended XYZ:
```
5
Lattice="5.211 0.000 0.000 0.000 5.211 0.000 0.000 0.000 5.926" Properties=species:S:1:pos:R:3 pbc="T T T"
Cd 0.000 0.000 0.000
Sb 0.000 2.606 2.963
Sb 2.606 0.000 2.963
W 2.606 2.606 2.963
I 2.606 2.606 0.000
```

Output
* energy relative to the elements, uncorrected: 291 kJ/mol of formula units
* energy: -0.1517 Ha/atom

***

[3]
Compound: LaEr2ScSb4
Source: Alexandria via LeMat-Bulk
Functional: GGA-PBE
Structure: relaxed

Geometry as extended XYZ:
```
8
Lattice="-3.110 3.110 6.170 3.110 -3.110 6.170 3.110 3.110 -6.170" Properties=species:S:1:pos:R:3 pbc="T T T"
La 0.000 0.000 0.000
Er 3.110 0.000 3.085
Er 0.000 3.110 3.085
Sc 0.000 0.000 6.170
Sb 3.110 0.000 0.000
Sb 0.000 0.000 3.215
Sb 0.000 3.110 0.000
Sb 0.000 0.000 9.124
```

Output
* energy relative to the elements, uncorrected: -817 kJ/mol of formula units
* energy: -0.2083 Ha/atom

***

[4]
Compound: BaSr3Ir
Source: Alexandria via LeMat-Bulk
Functional: GGA-PBE
Structure: relaxed

Geometry as extended XYZ:
```
10
Lattice="3.800 -15.433 0.000 3.800 15.433 0.000 0.000 0.000 5.960" Properties=species:S:1:pos:R:3 pbc="T T T"
Ba 3.800 11.487 4.470
Ba 3.800 -11.487 1.490
Sr 0.000 0.000 0.000
Sr 0.000 0.000 2.980
Sr 1.780 6.557 4.470
Sr 1.780 -6.557 1.490
Sr 5.821 6.557 4.470
Sr 5.821 -6.557 1.490
Ir 3.800 8.707 4.470
Ir 3.800 -8.707 1.490
```

Output
* energy: -0.0979 Ha/atom